[1]
The following is a DFT calculation (GGA-PBE) of a relaxed LaCeCdIn crystal.

It has space group Pmmm (No. 47), with a = 4.711 Å, b = 4.895 Å, c = 4.926 Å, α = 90.00°, β = 90.00° and γ = 90.00°. The inequivalent atoms are La at (0.000, 0.000, 0.000), Ce at (0.000, 0.500, 0.500), Cd at (0.500, 0.500, 0.000) and In at (0.500, 0.000, 0.500).

The density of states at the Fermi level is 2.21 states/eV per atom. The total energy comes out at -15.76 eV per formula unit. The excess energy over the best structure of this formula in the dataset comes out at 2 meV per atom.

[2]
The following is a DFT calculation (GGA-PBE) of a relaxed LaCe2Cd2In2 crystal.

It has space group R-3m (No. 166, hexagonal axes), with a = 4.8317 Å, b = 4.8317 Å, c = 28.3324 Å, α = 90.00°, β = 90.00° and γ = 120.00°. The inequivalent atoms are La at (0.0000, 0.0000, 0.0000), Ce at (0.0000, 0.0000, 0.1453), Cd at (0.0000, 0.0000, 0.4193) and In at (0.0000, 0.0000, 0.2654).

The density of states at the Fermi level is 1.83 states/eV per atom. The total energy comes out at -25.91 eV per formula unit.

[3]
The following is a DFT calculation (GGA-PBE) of a relaxed Li4CeCdIn2 crystal.

It has space group R-3m (No. 166, hexagonal axes), with a = 4.9166 Å, b = 4.9166 Å, c = 24.1339 Å, α = 90.00°, β = 90.00° and γ = 120.00°. The inequivalent atoms are Li at (0.0000, 0.0000, 0.1095), Li at (0.0000, 0.0000, 0.3643), Ce at (0.0000, 0.0000, 0.5000), Cd at (0.0000, 0.0000, 0.0000) and In at (0.0000, 0.0000, 0.2404).

The density of states at the Fermi level is 1.18 states/eV per atom. The total energy comes out at -21.48 eV per formula unit.

[4]
The following is a DFT calculation (GGA-PBE) of a relaxed Li2CeCd2In2 crystal.

It has space group C2/m (No. 12), with a = 8.619 Å, b = 4.896 Å, c = 7.931 Å, α = 90.00°, β = 108.13° and γ = 90.00°. The inequivalent atoms are Li at (0.137, 0.000, 0.434), Ce at (0.000, 0.000, 0.000), Cd at (0.225, 0.500, 0.199) and In at (0.082, 0.500, 0.721).

The density of states at the Fermi level is 1.01 states/eV per atom. The total energy comes out at -18.92 eV per formula unit.

[5]
The following is a DFT calculation (GGA-PBE) of a relaxed CeLuCdIn crystal.

It has space group F-43m (No. 216), with a = 7.540 Å, b = 7.540 Å, c = 7.540 Å, α = 90.00°, β = 90.00° and γ = 90.00°. The inequivalent atoms are Ce at (0.000, 0.000, 0.000), Lu at (0.000, 0.000, 0.500), Cd at (0.250, 0.250, 0.750) and In at (0.250, 0.250, 0.250).

The density of states at the Fermi level is 2.37 states/eV per atom. The total energy comes out at -15.30 eV per formula unit.

[6]
The following is a DFT calculation (GGA-PBE) of a relaxed NaCeCdIn crystal.

It has space group F-43m (No. 216), with a = 7.550 Å, b = 7.550 Å, c = 7.550 Å, α = 90.00°, β = 90.00° and γ = 90.00°. The inequivalent atoms are Na at (0.000, 0.000, 0.000), Ce at (0.000, 0.000, 0.500), Cd at (0.250, 0.250, 0.750) and In at (0.250, 0.250, 0.250).

The density of states at the Fermi level is 1.89 states/eV per atom. The total energy comes out at -11.56 eV per formula unit.